Compound: KFeH5S2O10
Source: Alexandria
Functional: PBE with a Hubbard U
Structure: relaxed Values from VASP.

Computed properties:
- offset from the most stable computed form (meV per atom) = 0
- total energy (eV per atom) = -5.661
- D(E_F) (states/eV/f.u.) = 0.00

The structure in Quantum ESPRESSO input format:
```
&SYSTEM
  ibrav = 0, nat = 19, ntyp = 5
/
ATOMIC_SPECIES
K 39.10 K.upf
Fe 55.84 Fe.upf
H 1.01 H.upf
S 32.06 S.upf
O 16.00 O.upf
CELL_PARAMETERS angstrom
4.711 0.000 0.000
-0.667 5.883 0.000
-1.279 -2.146 7.992
ATOMIC_POSITIONS crystal
K 0.000 0.000 0.000
Fe 0.978 0.999 0.510
H 0.008 0.655 0.680
H 0.326 0.700 0.640
H 0.469 0.519 0.018
H 0.618 0.283 0.387
H 0.925 0.332 0.335
S 0.358 0.675 0.264
S 0.588 0.316 0.753
O 0.151 0.771 0.652
O 0.180 0.865 0.297
O 0.197 0.438 0.237
O 0.338 0.272 0.611
O 0.455 0.691 0.096
O 0.485 0.301 0.913
O 0.619 0.716 0.396
O 0.749 0.554 0.777
O 0.776 0.130 0.718
O 0.789 0.212 0.361
```